DFT (PBEsol) results for a relaxed structure of KBaSr2.

Unit cell a=4.1532 b=4.1532 c=14.0440 alpha=90.00 beta=90.00 gamma=110.37
Atoms (fractional coordinates):
1 K 0.0000 0.0000 0.0000
2 Ba 0.0000 0.0000 0.5000
3 Sr 0.5000 0.5000 0.2599
4 Sr 0.5000 0.5000 0.7401

Calculated values
The energy above the most stable polymorph in this dataset comes out at 0 meV per atom. As for the space group: Cmmm. For the density, the calculation gives 2.57 Mg/m³. As for the formation enthalpy at 0 K: 0.0525 eV/atom.

DFT (PBEsol) results for a relaxed structure of KBaSr2.

Unit cell a=14.6753 b=14.6753 c=14.6753 alpha=16.75 beta=16.75 gamma=16.75
Atoms (fractional coordinates):
1 K 0.0000 0.0000 0.0000
2 Ba 0.5000 0.5000 0.5000
3 Sr 0.2475 0.2475 0.2475
4 Sr 0.7525 0.7525 0.7525

Calculated values
The energy above the most stable polymorph in this dataset comes out at 4 meV per atom. As for the space group: R-3m. For the density, the calculation gives 2.55 Mg/m³. As for the formation enthalpy at 0 K: 0.0566 eV/atom.